1.
Material: ZnP2Ru
Method: DFT, PBEsol
State: relaxed

abc: 3.085 4.161 4.161
angles: 90.00 90.00 90.00
Positions (direct):
P 0.000 0.000 0.500
Ru 0.500 0.500 0.500
Zn 0.500 0.000 0.000
P 0.000 0.500 0.000

Summary:
- total energy (eV per atom) = -5.6413
- spin magnetization (μB per atom) = 0.000
- space group = P4/mmm
- energy relative to the elements (eV/atom) = 0.19
- calculated volume (Å³/f.u.) = 53


2.
Material: SrHgPb2
Method: DFT, PBEsol
State: relaxed

abc: 4.668 4.668 6.278
angles: 111.82 111.82 90.00
Positions (direct):
Hg 0.000 0.000 0.000
Pb 0.250 0.750 0.500
Sr 0.500 0.500 0.000
Pb 0.750 0.250 0.500

Summary:
- total energy (eV per atom) = -2.9379
- spin magnetization (μB per atom) = 0.000
- space group = I4/mmm
- energy relative to the elements (eV/atom) = -0.34
- calculated volume (Å³/f.u.) = 116


3.
Material: InRe2Br
Method: DFT, PBEsol
State: relaxed

abc: 3.148 3.148 6.560
angles: 90.00 90.00 90.00
Positions (direct):
Re 0.000 0.000 0.235
In 0.500 0.500 0.500
Re 0.000 0.000 0.765
Br 0.500 0.500 0.000

Summary:
- total energy (eV per atom) = -6.6549
- spin magnetization (μB per atom) = 0.000
- energy relative to the elements, uncorrected (eV/atom) = 1.2243
- space group = P4/mmm
- calculated volume (Å³/f.u.) = 65


4.
Material: LaInCu
Method: DFT, PBEsol
State: relaxed

abc: 3.696 4.692 4.692
angles: 120.00 90.00 90.00
Positions (direct):
La 0.500 0.667 0.333
In 0.000 0.333 0.667
Cu 0.000 0.000 0.000

Summary:
- total energy (eV per atom) = -4.5560
- spin magnetization (μB per atom) = 0.000
- space group = P-6m2
- energy relative to the elements (eV/atom) = -0.33
- calculated volume (Å³/f.u.) = 70


5.
Material: In4SbTe3
Method: DFT, PBEsol
State: relaxed

abc: 6.095 6.095 7.501
angles: 113.97 113.97 90.00
Positions (direct):
Te 0.250 0.750 0.500
Te 0.000 0.000 0.000
In 0.254 0.254 0.509
In 0.746 0.746 0.491
In 0.000 0.500 0.000
In 0.500 0.000 0.000
Te 0.750 0.250 0.500
Sb 0.500 0.500 0.000

Summary:
- total energy (eV per atom) = -3.6184
- spin magnetization (μB per atom) = 0.000
- energy relative to the elements, uncorrected (eV/atom) = -0.2351
- space group = I4/mmm
- calculated volume (Å³/f.u.) = 228


6.
Material: HgH9C3SI3
Method: DFT, PBEsol
State: relaxed

abc: 8.731 9.110 14.937
angles: 90.00 90.00 98.16
Positions (direct):
H 0.479 0.532 0.278
H 0.519 0.728 0.251
H 0.343 0.339 0.175
C 0.289 0.895 0.684
S 0.107 0.906 0.632
I 0.909 0.497 0.368
H 0.492 0.376 0.091
S 0.607 0.406 0.868
I 0.363 0.323 0.408
H 0.657 0.661 0.825
H 0.693 0.025 0.261
C 0.123 0.101 0.613
S 0.393 0.594 0.132
H 0.878 0.419 0.869
H 0.307 0.975 0.739
Hg 0.223 0.560 0.458
H 0.992 0.876 0.409
H 0.021 0.968 0.778
H 0.209 0.130 0.559
H 0.157 0.161 0.675
C 0.480 0.385 0.774
H 0.508 0.624 0.909
I 0.180 0.647 0.920
I 0.091 0.503 0.632
I 0.863 0.823 0.092
H 0.622 0.081 0.369
H 0.286 0.780 0.708
Hg 0.723 0.060 0.042
H 0.979 0.032 0.222
Hg 0.777 0.440 0.542
H 0.378 0.919 0.631
H 0.291 0.370 0.059
I 0.637 0.677 0.592
C 0.623 0.601 0.887
H 0.481 0.272 0.749
C 0.377 0.399 0.113
H 0.636 0.603 0.201
H 0.521 0.468 0.722
C 0.877 0.899 0.387
I 0.320 0.853 0.420
H 0.019 0.228 0.249
C 0.789 0.395 0.816
H 0.791 0.870 0.441
H 0.981 0.772 0.751
C 0.520 0.615 0.226
I 0.820 0.353 0.080
C 0.211 0.605 0.184
Hg 0.277 0.940 0.958
H 0.807 0.475 0.761
H 0.843 0.839 0.325
C 0.020 0.115 0.274
I 0.591 0.003 0.868
H 0.714 0.220 0.292
H 0.786 0.280 0.792
H 0.864 0.897 0.701
C 0.980 0.885 0.726
H 0.214 0.720 0.208
H 0.709 0.630 0.941
H 0.364 0.397 0.799
I 0.680 0.147 0.580
H 0.122 0.581 0.131
H 0.136 0.103 0.299
H 0.008 0.124 0.591
S 0.893 0.094 0.368
I 0.137 0.177 0.908
H 0.193 0.525 0.239
I 0.409 0.997 0.132
C 0.711 0.105 0.316

Summary:
- total energy (eV per atom) = -4.2467
- spin magnetization (μB per atom) = 0.000
- space group = P2_1/c
- calculated volume (Å³/f.u.) = 294


7.
Material: CrSbPI2
Method: DFT, PBEsol
State: relaxed

abc: 5.187 5.187 5.273
angles: 90.00 90.00 90.00
Site moments in Bohr magnetons follow the coordinates.
Positions (direct):
P 0.500 0.500 0.500  0.59
Sb 0.000 0.000 0.500  -0.24
I 0.000 0.500 0.000  0.04
I 0.500 0.000 0.000  0.04
Cr 0.000 0.000 0.000  3.01

Summary:
- total energy (eV per atom) = -4.0259
- spin magnetization (μB per atom) = 0.849
- energy relative to the elements, uncorrected (eV/atom) = 0.7989
- space group = P4/mmm
- calculated volume (Å³/f.u.) = 142


8.
Material: MnAl2Mo
Method: DFT, PBEsol
State: relaxed

abc: 3.002 3.002 5.983
angles: 90.00 90.00 90.00
Positions (direct):
Al 0.000 0.000 0.996
Mo 0.500 0.500 0.733
Mn 0.000 0.000 0.497
Al 0.500 0.500 0.274

Summary:
- total energy (eV per atom) = -7.6374
- spin magnetization (μB per atom) = 0.000
- space group = P4mm
- energy relative to the elements (eV/atom) = -0.21
- calculated volume (Å³/f.u.) = 54


9.
Material: Cu4SiP8
Method: DFT, PBEsol
State: relaxed

abc: 5.681 8.985 8.985
angles: 84.26 71.57 71.57
Positions (direct):
P 0.132 0.077 0.619
P 0.249 0.619 0.923
P 0.590 0.295 0.530
Cu 0.558 0.211 0.805
Cu 0.575 0.789 0.195
P 0.160 0.205 0.970
P 0.923 0.577 0.119
P 0.618 0.423 0.881
P 0.636 0.030 0.205
P 0.827 0.923 0.381
Cu 0.114 0.695 0.711
P 0.416 0.705 0.470
P 0.959 0.119 0.423
Cu 0.636 0.805 0.789
Cu 0.519 0.305 0.289
P 0.501 0.881 0.577
Cu 0.175 0.711 0.305
P 0.880 0.530 0.705
P 0.870 0.970 0.795
P 0.334 0.795 0.030
Si 0.750 0.500 0.500
Cu 0.192 0.289 0.695
P 0.791 0.381 0.077
P 0.114 0.470 0.295
Cu 0.231 0.195 0.211
Si 0.000 0.000 0.000

Summary:
- total energy (eV per atom) = -5.4854
- spin magnetization (μB per atom) = 0.000
- energy relative to the elements, uncorrected (eV/atom) = -0.1458
- space group = I4_1/a
- calculated volume (Å³/f.u.) = 206


10.
Material: ZrSc2Ru
Method: DFT, PBEsol
State: relaxed

abc: 3.261 4.746 5.747
angles: 114.39 106.48 90.00
Positions (direct):
Sc 0.288 0.288 0.577
Ru 0.000 0.500 0.000
Sc 0.712 0.712 0.423
Zr 0.500 0.000 0.000

Summary:
- total energy (eV per atom) = -8.4374
- spin magnetization (μB per atom) = 0.000
- space group = Immm
- energy relative to the elements (eV/atom) = -0.32
- calculated volume (Å³/f.u.) = 77


11.
Material: Sc2Ge2Os
Method: DFT, PBEsol
State: relaxed

abc: 3.963 6.510 6.510
angles: 90.00 90.00 90.00
Positions (direct):
Ge 0.000 0.865 0.635
Ge 0.000 0.365 0.865
Ge 0.000 0.635 0.135
Sc 0.500 0.673 0.827
Sc 0.500 0.827 0.327
Sc 0.500 0.173 0.673
Os 0.000 0.500 0.500
Os 0.000 0.000 0.000
Sc 0.500 0.327 0.173
Ge 0.000 0.135 0.365

Summary:
- total energy (eV per atom) = -7.8124
- spin magnetization (μB per atom) = 0.000
- space group = P4/mbm
- energy relative to the elements (eV/atom) = -0.75
- calculated volume (Å³/f.u.) = 84


12.
Material: Mn2ReAs
Method: DFT, PBEsol
State: relaxed

abc: 3.677 3.677 4.554
angles: 113.81 113.81 90.00
Site moments in Bohr magnetons follow the coordinates.
Positions (direct):
Mn 0.250 0.750 0.500  1.75
Re 0.500 0.500 0.000  -0.08
As 0.000 0.000 0.000  -0.03
Mn 0.750 0.250 0.500  1.75

Summary:
- total energy (eV per atom) = -9.2905
- spin magnetization (μB per atom) = 0.866
- space group = I4/mmm
- energy relative to the elements (eV/atom) = 0.20
- calculated volume (Å³/f.u.) = 51


13.
Material: BMoOs3
Method: DFT, PBEsol
State: relaxed

abc: 4.619 4.619 4.619
angles: 90.00 90.00 90.00
Site moments in Bohr magnetons follow the coordinates.
Positions (direct):
Os 0.500 0.000 0.000  0.35
Os 0.000 0.000 0.500  0.35
Os 0.000 0.500 0.000  0.35
B 0.500 0.500 0.500  -0.01
Mo 0.000 0.000 0.000  -0.06

Summary:
- total energy (eV per atom) = -7.8045
- spin magnetization (μB per atom) = 0.209
- space group = Pm-3m
- energy relative to the elements (eV/atom) = 3.28
- calculated volume (Å³/f.u.) = 99


14.
Material: Li5Ti12O24
Method: DFT, PBEsol
State: relaxed

abc: 5.033 8.781 9.603
angles: 90.00 90.23 90.00
Site moments in Bohr magnetons follow the coordinates.
Positions (direct):
Li 0.066 0.333 0.534  0.00
Ti 0.005 0.500 0.146  0.41
O 0.698 0.333 0.535  0.00
O 0.293 0.338 0.714  -0.01
Ti 0.969 0.173 0.139  0.32
O 0.290 0.834 0.466  0.00
O 0.706 0.500 0.276  -0.01
O 0.292 0.500 0.465  0.01
O 0.698 0.667 0.535  0.00
O 0.290 0.166 0.466  0.00
Li 0.426 0.000 0.039  0.00
Li 0.059 0.000 0.531  0.00
Ti 0.490 0.663 0.358  0.40
Ti 0.517 0.838 0.643  0.48
O 0.199 0.840 0.964  0.00
Ti 0.992 0.000 0.859  0.43
O 0.802 0.823 0.776  -0.01
O 0.200 0.000 0.214  -0.01
Ti 0.035 0.327 0.865  0.33
Ti 0.035 0.673 0.865  0.33
O 0.275 0.000 0.714  -0.01
O 0.692 0.162 0.277  -0.01
O 0.798 0.500 0.786  -0.01
O 0.696 0.000 0.534  0.01
Ti 0.534 0.500 0.643  0.32
O 0.793 0.000 0.035  0.00
O 0.802 0.177 0.776  -0.01
O 0.807 0.339 0.036  0.00
Ti 0.517 0.162 0.643  0.48
Ti 0.490 0.337 0.358  0.40
Ti 0.969 0.827 0.139  0.32
Li 0.577 0.500 0.967  0.00
O 0.807 0.661 0.036  0.00
O 0.199 0.160 0.964  0.00
O 0.198 0.326 0.225  -0.01
O 0.211 0.500 0.964  0.00
O 0.692 0.838 0.277  -0.01
Ti 0.475 0.000 0.358  0.30
O 0.198 0.674 0.225  -0.01
Li 0.066 0.667 0.534  0.00
O 0.293 0.662 0.714  -0.01

Summary:
- total energy (eV per atom) = -8.6258
- spin magnetization (μB per atom) = 0.120
- energy relative to the elements, uncorrected (eV/atom) = -2.8774
- space group = Pm
- calculated volume (Å³/f.u.) = 424


15.
Material: La2ScAl
Method: DFT, PBEsol
State: relaxed

abc: 3.733 5.353 6.363
angles: 114.87 107.06 90.00
Positions (direct):
Sc 0.465 0.465 0.931
La 0.025 0.025 0.050
Al 0.767 0.268 0.535
La 0.242 0.742 0.484

Summary:
- total energy (eV per atom) = -5.5057
- spin magnetization (μB per atom) = 0.000
- space group = Imm2
- energy relative to the elements (eV/atom) = -0.16
- calculated volume (Å³/f.u.) = 109


16.
Material: BaLi2In
Method: DFT, PBEsol
State: relaxed

abc: 4.875 4.875 6.206
angles: 66.87 66.87 60.00
Positions (direct):
Ba 0.000 0.000 0.000
Li 0.800 0.800 0.599
Li 0.200 0.200 0.401
In 0.500 0.500 0.500

Summary:
- total energy (eV per atom) = -2.5018
- spin magnetization (μB per atom) = 0.000
- space group = R-3m
- energy relative to the elements (eV/atom) = -0.24
- calculated volume (Å³/f.u.) = 114


17.
Material: Ca4MgB4H6C2O18
Method: DFT, PBEsol
State: relaxed

abc: 4.462 8.561 9.695
angles: 116.20 100.22 90.00
Positions (direct):
O 0.956 0.650 0.300
H 0.209 0.611 0.015
O 0.674 0.628 0.908
C 0.747 0.692 0.384
O 0.719 0.195 0.114
Ca 0.854 0.612 0.687
Ca 0.146 0.925 0.313
O 0.326 0.720 0.092
Ca 0.854 0.075 0.687
O 0.184 0.821 0.641
O 0.352 0.418 0.572
H 0.791 0.389 0.985
O 0.044 0.350 0.700
O 0.352 0.154 0.572
O 0.326 0.372 0.092
H 0.209 0.404 0.015
O 0.281 0.805 0.886
O 0.648 0.846 0.428
O 0.674 0.280 0.908
O 0.281 0.081 0.886
H 0.791 0.596 0.985
O 0.697 0.897 0.795
O 0.719 0.919 0.114
B 0.385 0.901 0.802
B 0.500 0.228 0.000
Mg 0.000 0.000 0.000
O 0.816 0.179 0.359
Ca 0.146 0.388 0.313
C 0.253 0.308 0.616
B 0.615 0.099 0.198
O 0.303 0.103 0.205
B 0.500 0.772 0.000
O 0.648 0.582 0.428
H 0.319 0.782 0.564
H 0.681 0.218 0.436

Summary:
- total energy (eV per atom) = -7.0787
- spin magnetization (μB per atom) = 0.000
- space group = C2/m
- calculated volume (Å³/f.u.) = 326


18.
Material: MnCo3
Method: DFT, PBEsol
State: relaxed

abc: 3.903 4.237 4.882
angles: 90.00 90.00 90.00
Site moments in Bohr magnetons follow the coordinates.
Positions (direct):
Co 0.000 0.667 0.500  0.91
Co 0.500 0.833 0.750  0.76
Mn 0.000 0.664 0.000  -1.59
Co 0.000 0.167 0.250  0.76
Co 0.500 0.333 0.000  0.91
Mn 0.500 0.336 0.500  -1.59
Co 0.500 0.833 0.250  0.76
Co 0.000 0.167 0.750  0.76

Summary:
- total energy (eV per atom) = -8.2171
- spin magnetization (μB per atom) = 0.202
- space group = Pmmn
- energy relative to the elements (eV/atom) = 0.03
- calculated volume (Å³/f.u.) = 40


19.
Material: CsInCuP6O18
Method: DFT, PBEsol
State: relaxed

abc: 5.143 8.944 9.360
angles: 85.93 74.16 73.70
Site moments in Bohr magnetons follow the coordinates.
Positions (direct):
O 0.699 0.209 0.965  0.00
P 0.562 0.539 0.301  0.01
O 0.303 0.642 0.737  0.00
Cu 0.001 0.499 0.499  0.69
O 0.299 0.792 0.038  0.00
P 0.598 0.759 0.046  0.00
O 0.027 0.917 0.787  0.00
O 0.328 0.108 0.898  0.00
P 0.438 0.461 0.698  0.01
O 0.976 0.083 0.214  0.00
In 0.000 0.000 0.000  0.00
O 0.249 0.574 0.333  0.07
P 0.001 0.240 0.252  0.00
O 0.675 0.606 0.138  0.01
O 0.806 0.695 0.889  0.00
O 0.327 0.392 0.859  0.01
P 0.000 0.761 0.748  0.00
O 0.189 0.307 0.109  0.00
P 0.402 0.240 0.954  0.00
O 0.906 0.753 0.613  0.00
O 0.100 0.249 0.384  0.00
Cs 0.499 0.977 0.481  0.00
O 0.751 0.427 0.666  0.07
O 0.676 0.889 0.103  0.00
O 0.315 0.406 0.590  0.06
O 0.686 0.596 0.408  0.05
O 0.696 0.358 0.265  0.00

Summary:
- total energy (eV per atom) = -7.1203
- spin magnetization (μB per atom) = 0.037
- energy relative to the elements, uncorrected (eV/atom) = -2.0279
- space group = P1
- calculated volume (Å³/f.u.) = 398